No. 1
VASP calculation (SCAN) on a crystal of LiBr2 relaxed with PBEsol.

Cell and atoms, written as CIF:
```
data_LiBr2
_space_group_name_H-M_alt 'C m c m'
_space_group_IT_number 63
_space_group_name_Hall '-C 2c 2'
_cell_length_a 4.2660
_cell_length_b 16.1102
_cell_length_c 4.8312
_cell_angle_alpha 90.00
_cell_angle_beta 90.00
_cell_angle_gamma 90.00
loop_
_atom_site_label
_atom_site_fract_x
_atom_site_fract_y
_atom_site_fract_z
_atom_site_occupancy
Li1 0.0000 0.2331 0.2500 1
Br1 0.0000 0.1822 0.7500 1
Br2 0.0000 0.4773 0.7500 1
```

Summary:
Crystal system ... orthorhombic
ΔE_f (raw) ... -1.07 eV per atom
Distance to the lowest polymorph of the same formula ... 0.0 meV per atom


No. 2
VASP calculation (SCAN) on a crystal of Li6MgBr8 relaxed with PBEsol.

Cell and atoms, written as CIF:
```
data_Li6MgBr8
_space_group_name_H-M_alt 'F m -3 m'
_space_group_IT_number 225
_space_group_name_Hall '-F 4 2 3'
_cell_length_a 10.8310
_cell_length_b 10.8310
_cell_length_c 10.8310
_cell_angle_alpha 90.00
_cell_angle_beta 90.00
_cell_angle_gamma 90.00
loop_
_atom_site_label
_atom_site_fract_x
_atom_site_fract_y
_atom_site_fract_z
_atom_site_occupancy
Li1 0.0000 0.2500 0.2500 1
Mg1 0.0000 0.0000 0.0000 1
Br1 0.0000 0.0000 0.2453 1
Br2 0.2500 0.2500 0.2500 1
```

Summary:
Crystal system ... cubic
ΔE_f (raw) ... -1.70 eV per atom


No. 3
VASP calculation (SCAN) on a crystal of Li2MgBr relaxed with PBEsol.

Cell and atoms, written as CIF:
```
data_Li2MgBr
_space_group_name_H-M_alt 'P 1 2/m 1'
_space_group_IT_number 10
_cell_length_a 3.7056
_cell_length_b 3.6320
_cell_length_c 6.4924
_cell_angle_alpha 90.00
_cell_angle_beta 103.78
_cell_angle_gamma 90.00
loop_
_space_group_symop_operation_xyz
'x,y,z'
'-x,-y,-z'
'-x,y,-z'
'x,-y,z'
loop_
_atom_site_label
_atom_site_fract_x
_atom_site_fract_y
_atom_site_fract_z
_atom_site_occupancy
Li1 0.1181 0.0000 0.2455 1
Mg1 0.5000 0.5000 0.0000 1
Br1 0.5000 0.5000 0.5000 1
```

Summary:
Crystal system ... monoclinic
ΔE_f (raw) ... -0.60 eV per atom
Distance to the lowest polymorph of the same formula ... 81.5 meV per atom


No. 4
VASP calculation (SCAN) on a crystal of Li2MgBr relaxed with PBEsol.

Cell and atoms, written as CIF:
```
data_Li2MgBr
_space_group_name_H-M_alt 'C m m m'
_space_group_IT_number 65
_space_group_name_Hall '-C 2 2'
_cell_length_a 5.9943
_cell_length_b 8.4663
_cell_length_c 3.3290
_cell_angle_alpha 90.00
_cell_angle_beta 90.00
_cell_angle_gamma 90.00
loop_
_atom_site_label
_atom_site_fract_x
_atom_site_fract_y
_atom_site_fract_z
_atom_site_occupancy
Li1 0.2500 0.2500 0.0000 1
Mg1 0.0000 0.0000 0.5000 1
Br1 0.0000 0.5000 0.5000 1
```

Summary:
Crystal system ... orthorhombic
ΔE_f (raw) ... -0.45 eV per atom
Distance to the lowest polymorph of the same formula ... 239.6 meV per atom


No. 5
VASP calculation (SCAN) on a crystal of Li2MgBr relaxed with PBEsol.

Cell and atoms, written as CIF:
```
data_Li2MgBr
_space_group_name_H-M_alt 'C 1 2/m 1'
_space_group_IT_number 12
_cell_length_a 6.0331
_cell_length_b 3.4794
_cell_length_c 8.6859
_cell_angle_alpha 90.00
_cell_angle_beta 103.27
_cell_angle_gamma 90.00
loop_
_space_group_symop_operation_xyz
'x,y,z'
'-x,-y,-z'
'-x,y,-z'
'x,-y,z'
'x+1/2,y+1/2,z'
'-x+1/2,-y+1/2,-z'
'-x+1/2,y+1/2,-z'
'x+1/2,-y+1/2,z'
loop_
_atom_site_label
_atom_site_fract_x
_atom_site_fract_y
_atom_site_fract_z
_atom_site_occupancy
Li1 0.2305 0.0000 0.1942 1
Mg1 0.0000 0.0000 0.5000 1
Br1 0.0000 0.5000 0.0000 1
```

Summary:
Crystal system ... monoclinic
ΔE_f (raw) ... -0.68 eV per atom
Distance to the lowest polymorph of the same formula ... 0.0 meV per atom


No. 6
VASP calculation (SCAN) on a crystal of Li3MgBr relaxed with PBEsol.

Cell and atoms, written as CIF:
```
data_Li3MgBr
_space_group_name_H-M_alt 'P m -3 m'
_space_group_IT_number 221
_space_group_name_Hall '-P 4 2 3'
_cell_length_a 4.9186
_cell_length_b 4.9186
_cell_length_c 4.9186
_cell_angle_alpha 90.00
_cell_angle_beta 90.00
_cell_angle_gamma 90.00
loop_
_atom_site_label
_atom_site_fract_x
_atom_site_fract_y
_atom_site_fract_z
_atom_site_occupancy
Li1 0.0000 0.0000 0.5000 1
Mg1 0.5000 0.5000 0.5000 1
Br1 0.0000 0.0000 0.0000 1
```

Summary:
Crystal system ... cubic
ΔE_f (raw) ... -0.39 eV per atom


No. 7
VASP calculation (SCAN) on a crystal of Li2MgBr relaxed with PBEsol.

Cell and atoms, written as CIF:
```
data_Li2MgBr
_space_group_name_H-M_alt 'P m m m'
_space_group_IT_number 47
_cell_length_a 3.7466
_cell_length_b 4.0575
_cell_length_c 5.8273
_cell_angle_alpha 90.00
_cell_angle_beta 90.00
_cell_angle_gamma 90.00
loop_
_space_group_symop_operation_xyz
'x,y,z'
'-x,-y,-z'
'-x,-y,z'
'x,y,-z'
'x,-y,-z'
'-x,y,z'
'-x,y,-z'
'x,-y,z'
loop_
_atom_site_label
_atom_site_fract_x
_atom_site_fract_y
_atom_site_fract_z
_atom_site_occupancy
Li1 0.0000 0.0000 0.0000 1
Li2 0.5000 0.0000 0.5000 1
Mg1 0.0000 0.5000 0.5000 1
Br1 0.5000 0.5000 0.0000 1
```

Summary:
Crystal system ... orthorhombic
ΔE_f (raw) ... -0.45 eV per atom
Distance to the lowest polymorph of the same formula ... 235.6 meV per atom


No. 8
VASP calculation (SCAN) on a crystal of LiMg3Br relaxed with PBEsol.

Cell and atoms, written as CIF:
```
data_LiMg3Br
_space_group_name_H-M_alt 'P m -3 m'
_space_group_IT_number 221
_space_group_name_Hall '-P 4 2 3'
_cell_length_a 5.3124
_cell_length_b 5.3124
_cell_length_c 5.3124
_cell_angle_alpha 90.00
_cell_angle_beta 90.00
_cell_angle_gamma 90.00
loop_
_atom_site_label
_atom_site_fract_x
_atom_site_fract_y
_atom_site_fract_z
_atom_site_occupancy
Li1 0.0000 0.0000 0.0000 1
Mg1 0.0000 0.5000 0.5000 1
Br1 0.5000 0.5000 0.5000 1
```

Summary:
Crystal system ... cubic
ΔE_f (raw) ... 0.31 eV per atom


No. 9
VASP calculation (SCAN) on a crystal of Li2MgBr4 relaxed with PBEsol.

Cell and atoms, written as CIF:
```
data_Li2MgBr4
_space_group_name_H-M_alt 'C m m m'
_space_group_IT_number 65
_space_group_name_Hall '-C 2 2'
_cell_length_a 7.6815
_cell_length_b 10.8806
_cell_length_c 3.8170
_cell_angle_alpha 90.00
_cell_angle_beta 90.00
_cell_angle_gamma 90.00
loop_
_atom_site_label
_atom_site_fract_x
_atom_site_fract_y
_atom_site_fract_z
_atom_site_occupancy
Li1 0.2500 0.2500 0.0000 1
Mg1 0.0000 0.0000 0.5000 1
Br1 0.0000 0.2441 0.5000 1
Br2 0.2419 0.0000 0.0000 1
```

Summary:
Crystal system ... orthorhombic
ΔE_f (raw) ... -1.69 eV per atom
Distance to the lowest polymorph of the same formula ... 0.0 meV per atom


No. 10
VASP calculation (SCAN) on a crystal of LiMgBr2 relaxed with PBEsol.

Cell and atoms, written as CIF:
```
data_LiMgBr2
_space_group_name_H-M_alt 'C m m m'
_space_group_IT_number 65
_space_group_name_Hall '-C 2 2'
_cell_length_a 3.7068
_cell_length_b 6.6834
_cell_length_c 7.9401
_cell_angle_alpha 90.00
_cell_angle_beta 90.00
_cell_angle_gamma 90.00
loop_
_atom_site_label
_atom_site_fract_x
_atom_site_fract_y
_atom_site_fract_z
_atom_site_occupancy
Li1 0.0000 0.0000 0.0000 1
Mg1 0.0000 0.0000 0.5000 1
Br1 0.0000 0.5000 0.2253 1
```

Summary:
Crystal system ... orthorhombic
ΔE_f (raw) ... -1.03 eV per atom


No. 11
VASP calculation (SCAN) on a crystal of Li2MgBr4 relaxed with PBEsol.

Cell and atoms, written as CIF:
```
data_Li2MgBr4
_space_group_name_H-M_alt 'I m m a'
_space_group_IT_number 74
_space_group_name_Hall '-I 2b 2'
_cell_length_a 7.7864
_cell_length_b 7.7903
_cell_length_c 10.4225
_cell_angle_alpha 90.00
_cell_angle_beta 90.00
_cell_angle_gamma 90.00
loop_
_atom_site_label
_atom_site_fract_x
_atom_site_fract_y
_atom_site_fract_z
_atom_site_occupancy
Li1 0.0000 0.0000 0.0000 1
Li2 0.2500 0.2500 0.2500 1
Mg1 0.2500 0.2500 0.7500 1
Br1 0.0000 0.0070 0.7430 1
Br2 0.2360 0.2500 0.9988 1
```

Summary:
Crystal system ... orthorhombic
ΔE_f (raw) ... -1.64 eV per atom
Distance to the lowest polymorph of the same formula ... 52.7 meV per atom


No. 12
VASP calculation (SCAN) on a crystal of LiMgBr2 relaxed with PBEsol.

Cell and atoms, written as CIF:
```
data_LiMgBr2
_space_group_name_H-M_alt 'I -4 2 d'
_space_group_IT_number 122
_space_group_name_Hall 'I -4 2bw'
_cell_length_a 6.3282
_cell_length_b 6.3282
_cell_length_c 11.9258
_cell_angle_alpha 90.00
_cell_angle_beta 90.00
_cell_angle_gamma 90.00
loop_
_atom_site_label
_atom_site_fract_x
_atom_site_fract_y
_atom_site_fract_z
_atom_site_occupancy
Li1 0.0000 0.0000 0.0000 1
Mg1 0.0000 0.0000 0.5000 1
Br1 0.2140 0.2500 0.1250 1
```

Summary:
Crystal system ... tetragonal
ΔE_f (raw) ... -1.03 eV per atom


No. 13
VASP calculation (SCAN) on a crystal of Li2MgMoBr relaxed with PBEsol.

Cell and atoms, written as CIF:
```
data_Li2MgMoBr
_space_group_name_H-M_alt 'P 4/m m m'
_space_group_IT_number 123
_space_group_name_Hall '-P 4 2'
_cell_length_a 5.0105
_cell_length_b 5.0105
_cell_length_c 5.0598
_cell_angle_alpha 90.00
_cell_angle_beta 90.00
_cell_angle_gamma 90.00
loop_
_atom_site_label
_atom_site_fract_x
_atom_site_fract_y
_atom_site_fract_z
_atom_site_occupancy
Li1 0.0000 0.5000 0.0000 1
Mg1 0.0000 0.0000 0.0000 1
Mo1 0.0000 0.0000 0.5000 1
Br1 0.5000 0.5000 0.5000 1
```

Summary:
Crystal system ... tetragonal
ΔE_f (raw) ... 0.87 eV per atom


No. 14
VASP calculation (SCAN) on a crystal of LiMnBr3 relaxed with PBEsol.

Cell and atoms, written as CIF:
```
data_LiMnBr3
_space_group_name_H-M_alt 'P m -3 m'
_space_group_IT_number 221
_space_group_name_Hall '-P 4 2 3'
_cell_length_a 4.8718
_cell_length_b 4.8718
_cell_length_c 4.8718
_cell_angle_alpha 90.00
_cell_angle_beta 90.00
_cell_angle_gamma 90.00
loop_
_atom_site_label
_atom_site_fract_x
_atom_site_fract_y
_atom_site_fract_z
_atom_site_occupancy
Li1 0.0000 0.0000 0.0000 1
Mn1 0.5000 0.5000 0.5000 1
Br1 0.0000 0.0000 0.5000 1
```

Summary:
Crystal system ... cubic
ΔE_f (raw) ... -0.67 eV per atom


No. 15
VASP calculation (SCAN) on a crystal of Li2MnBr relaxed with PBEsol.

Cell and atoms, written as CIF:
```
data_Li2MnBr
_space_group_name_H-M_alt 'F m -3 m'
_space_group_IT_number 225
_space_group_name_Hall '-F 4 2 3'
_cell_length_a 6.7691
_cell_length_b 6.7691
_cell_length_c 6.7691
_cell_angle_alpha 90.00
_cell_angle_beta 90.00
_cell_angle_gamma 90.00
loop_
_atom_site_label
_atom_site_fract_x
_atom_site_fract_y
_atom_site_fract_z
_atom_site_occupancy
Li1 0.2500 0.2500 0.2500 1
Mn1 0.0000 0.0000 0.0000 1
Br1 0.0000 0.0000 0.5000 1
```

Summary:
Crystal system ... cubic
ΔE_f (raw) ... 0.01 eV per atom


No. 16
VASP calculation (SCAN) on a crystal of LiMnBr relaxed with PBEsol.

Cell and atoms, written as CIF:
```
data_LiMnBr
_space_group_name_H-M_alt 'P -6 m 2'
_space_group_IT_number 187
_space_group_name_Hall 'P -6 2'
_cell_length_a 4.2482
_cell_length_b 4.2482
_cell_length_c 3.4186
_cell_angle_alpha 90.00
_cell_angle_beta 90.00
_cell_angle_gamma 120.00
loop_
_atom_site_label
_atom_site_fract_x
_atom_site_fract_y
_atom_site_fract_z
_atom_site_occupancy
Li1 0.0000 0.0000 0.0000 1
Mn1 0.3333 0.6667 0.5000 1
Br1 0.6667 0.3333 0.5000 1
```

Summary:
Crystal system ... hexagonal
ΔE_f (raw) ... -0.05 eV per atom


No. 17
VASP calculation (SCAN) on a crystal of LiMnBrO2 relaxed with PBEsol.

Cell and atoms, written as CIF:
```
data_LiMnBrO2
_space_group_name_H-M_alt 'P 4/m m m'
_space_group_IT_number 123
_space_group_name_Hall '-P 4 2'
_cell_length_a 3.6766
_cell_length_b 3.6766
_cell_length_c 5.0969
_cell_angle_alpha 90.00
_cell_angle_beta 90.00
_cell_angle_gamma 90.00
loop_
_atom_site_label
_atom_site_fract_x
_atom_site_fract_y
_atom_site_fract_z
_atom_site_occupancy
Li1 0.0000 0.0000 0.0000 1
Mn1 0.0000 0.0000 0.5000 1
Br1 0.5000 0.5000 0.5000 1
O1 0.0000 0.5000 0.0000 1
```

Summary:
Crystal system ... tetragonal
ΔE_f (raw) ... -0.32 eV per atom


No. 18
VASP calculation (SCAN) on a crystal of LiMoPtBr2 relaxed with PBEsol.

Cell and atoms, written as CIF:
```
data_LiMoPtBr2
_space_group_name_H-M_alt 'P 4/m m m'
_space_group_IT_number 123
_space_group_name_Hall '-P 4 2'
_cell_length_a 5.0626
_cell_length_b 5.0626
_cell_length_c 4.8492
_cell_angle_alpha 90.00
_cell_angle_beta 90.00
_cell_angle_gamma 90.00
loop_
_atom_site_label
_atom_site_fract_x
_atom_site_fract_y
_atom_site_fract_z
_atom_site_occupancy
Li1 0.0000 0.0000 0.0000 1
Mo1 0.5000 0.5000 0.5000 1
Pt1 0.5000 0.5000 0.0000 1
Br1 0.0000 0.5000 0.5000 1
```

Summary:
Crystal system ... tetragonal
ΔE_f (raw) ... 0.07 eV per atom


No. 19
VASP calculation (SCAN) on a crystal of LiMoSeBr2 relaxed with PBEsol.

Cell and atoms, written as CIF:
```
data_LiMoSeBr2
_space_group_name_H-M_alt 'P 4/m m m'
_space_group_IT_number 123
_space_group_name_Hall '-P 4 2'
_cell_length_a 4.6351
_cell_length_b 4.6351
_cell_length_c 4.9295
_cell_angle_alpha 90.00
_cell_angle_beta 90.00
_cell_angle_gamma 90.00
loop_
_atom_site_label
_atom_site_fract_x
_atom_site_fract_y
_atom_site_fract_z
_atom_site_occupancy
Li1 0.0000 0.0000 0.0000 1
Mo1 0.5000 0.5000 0.5000 1
Se1 0.0000 0.0000 0.5000 1
Br1 0.0000 0.5000 0.0000 1
```

Summary:
Crystal system ... tetragonal
ΔE_f (raw) ... 0.23 eV per atom


No. 20
VASP calculation (SCAN) on a crystal of Li6Br3N relaxed with PBEsol.

Cell and atoms, written as CIF:
```
data_Li6Br3N
_space_group_name_H-M_alt 'C 1 2/m 1'
_space_group_IT_number 12
_cell_length_a 8.2717
_cell_length_b 7.8365
_cell_length_c 6.6704
_cell_angle_alpha 90.00
_cell_angle_beta 123.60
_cell_angle_gamma 90.00
loop_
_space_group_symop_operation_xyz
'x,y,z'
'-x,-y,-z'
'-x,y,-z'
'x,-y,z'
'x+1/2,y+1/2,z'
'-x+1/2,-y+1/2,-z'
'-x+1/2,y+1/2,-z'
'x+1/2,-y+1/2,z'
loop_
_atom_site_label
_atom_site_fract_x
_atom_site_fract_y
_atom_site_fract_z
_atom_site_occupancy
Li1 0.1443 0.1789 0.2245 1
Li2 0.1446 0.0000 0.8538 1
Br1 0.0000 0.2365 0.5000 1
Br2 0.0000 0.5000 0.0000 1
N1 0.0000 0.0000 0.0000 1
```

Summary:
Crystal system ... monoclinic
ΔE_f (raw) ... -1.22 eV per atom
Distance to the lowest polymorph of the same formula ... 16.2 meV per atom